Record 1
! NaLiHgTe2 PBE relaxed; values from VASP
&SYSTEM
  ibrav = 0, nat = 10, ntyp = 4
/
ATOMIC_SPECIES
Na 22.99 Na.upf
Li 6.94 Li.upf
Hg 200.59 Hg.upf
Te 127.60 Te.upf
CELL_PARAMETERS angstrom
4.6360 0.0000 0.0000
2.3180 7.6363 -0.1707
2.3180 1.0720 8.6317
ATOMIC_POSITIONS crystal
Na 0.7719 0.8142 0.6421
Na 0.2281 0.1858 0.3579
Li 0.3591 0.3577 0.9241
Li 0.6409 0.6423 0.0759
Hg 0.0428 0.1170 0.7973
Hg 0.9572 0.8830 0.2027
Te 0.4335 0.7578 0.3752
Te 0.5665 0.2422 0.6248
Te 0.8178 0.2647 0.0997
Te 0.1822 0.7353 0.9003
! - density (Mg/m³) = 5.26
! - E_form (uncorrected) (eV per formula unit) = -3.13
! - magnetic moment (μB/f.u.) = 0.00

---

Record 2
! NaLiTl2Hg PBE relaxed; values from VASP
&SYSTEM
  ibrav = 0, nat = 5, ntyp = 4
/
ATOMIC_SPECIES
Na 22.99 Na.upf
Tl 204.38 Tl.upf
Hg 200.59 Hg.upf
Li 6.94 Li.upf
CELL_PARAMETERS angstrom
-3.0927 3.1020 -2.8022
-4.0472 -1.3495 2.9729
1.0310 3.8915 3.1699
ATOMIC_POSITIONS crystal
Na 0.5000 0.5000 0.5000
Tl 0.0000 0.5000 0.0000
Tl 0.5000 0.0000 0.0000
Hg 0.0000 0.0000 0.5000
Li 0.0000 0.0000 0.0000
! - density (Mg/m³) = 7.66
! - E_form (eV per atom) = -0.033
! - magnetic moment (μB/f.u.) = 0.00

---

Record 3
! Na2LiTlHg PBE relaxed; values from VASP
&SYSTEM
  ibrav = 0, nat = 5, ntyp = 4
/
ATOMIC_SPECIES
Na 22.99 Na.upf
Li 6.94 Li.upf
Tl 204.38 Tl.upf
Hg 200.59 Hg.upf
CELL_PARAMETERS angstrom
3.3387 0.0000 0.0000
0.0000 5.0316 0.0000
-1.6693 -2.5158 7.8210
ATOMIC_POSITIONS crystal
Na 0.2815 0.2815 0.5630
Na 0.9072 0.9072 0.8145
Li 0.5969 0.0969 0.1938
Tl 0.5000 0.5000 0.0000
Hg 0.6974 0.6974 0.3948
! - density (Mg/m³) = 5.79
! - E_form (eV per atom) = -0.123
! - magnetic moment (μB/f.u.) = 0.00

---

Record 4
! NaLiTmHg PBE relaxed; values from VASP
&SYSTEM
  ibrav = 0, nat = 4, ntyp = 4
/
ATOMIC_SPECIES
Na 22.99 Na.upf
Tm 168.93 Tm.upf
Hg 200.59 Hg.upf
Li 6.94 Li.upf
CELL_PARAMETERS angstrom
5.1170 0.0000 0.0000
2.5585 4.4314 0.0000
2.5585 1.4771 4.1780
ATOMIC_POSITIONS crystal
Na 0.7500 0.7500 0.7500
Tm 0.2500 0.2500 0.2500
Hg 0.5000 0.5000 0.5000
Li 0.0000 0.0000 0.0000
! - density (Mg/m³) = 7.00
! - E_form (eV per atom) = -0.058
! - magnetic moment (μB/f.u.) = 0.00

---

Record 5
! Li2NbHg2 PBE relaxed; values from VASP
&SYSTEM
  ibrav = 0, nat = 10, ntyp = 3
/
ATOMIC_SPECIES
Nb 92.91 Nb.upf
Hg 200.59 Hg.upf
Li 6.94 Li.upf
CELL_PARAMETERS angstrom
7.7552 0.0000 0.0000
0.0000 7.7552 0.0000
0.0000 0.0000 2.8541
ATOMIC_POSITIONS crystal
Nb 0.0000 0.0000 0.0000
Nb 0.5000 0.5000 0.0000
Hg 0.1815 0.6815 0.5000
Hg 0.6815 0.8185 0.5000
Hg 0.8185 0.3185 0.5000
Hg 0.3185 0.1815 0.5000
Li 0.3816 0.8816 0.0000
Li 0.8816 0.6184 0.0000
Li 0.6184 0.1184 0.0000
Li 0.1184 0.3816 0.0000
! - density (Mg/m³) = 9.83
! - E_form (eV per atom) = 0.028
! - magnetic moment (μB/f.u.) = 0.00
! - polymorph energy (0 for the lowest one) (meV/atom) = 0

---

Record 6
! Li3NbHg PBE relaxed; values from VASP
&SYSTEM
  ibrav = 0, nat = 5, ntyp = 3
/
ATOMIC_SPECIES
Nb 92.91 Nb.upf
Hg 200.59 Hg.upf
Li 6.94 Li.upf
CELL_PARAMETERS angstrom
-4.2008 -2.4319 -1.8418
2.5797 -4.5048 0.0644
-1.6283 -0.8631 4.8535
ATOMIC_POSITIONS crystal
Nb 0.0000 0.0000 0.0000
Hg 0.5000 0.5000 0.5000
Li 0.0000 0.5000 0.0000
Li 0.0000 0.0000 0.5000
Li 0.5000 0.0000 0.0000
! - density (Mg/m³) = 3.73
! - E_form (eV per atom) = 1.101
! - magnetic moment (μB/f.u.) = 4.56
! - polymorph energy (0 for the lowest one) (meV/atom) = 290

---

Record 7
! Li2NbHg PBE relaxed; values from VASP
&SYSTEM
  ibrav = 0, nat = 4, ntyp = 3
/
ATOMIC_SPECIES
Nb 92.91 Nb.upf
Hg 200.59 Hg.upf
Li 6.94 Li.upf
CELL_PARAMETERS angstrom
2.9071 0.0000 0.0000
1.4535 2.5176 0.0000
1.4535 0.8392 10.5436
ATOMIC_POSITIONS crystal
Nb 0.0000 0.0000 0.0000
Hg 0.5000 0.5000 0.5000
Li 0.0885 0.0885 0.7346
Li 0.9115 0.9115 0.2654
! - density (Mg/m³) = 6.61
! - E_form (eV per atom) = 0.246
! - magnetic moment (μB/f.u.) = 0.00

---

Record 8
! Li2NbHg PBE relaxed; values from VASP
&SYSTEM
  ibrav = 0, nat = 8, ntyp = 3
/
ATOMIC_SPECIES
Nb 92.91 Nb.upf
Hg 200.59 Hg.upf
Li 6.94 Li.upf
CELL_PARAMETERS angstrom
-0.9764 -6.6968 2.5503
4.7889 -2.5245 -4.7956
3.9842 -4.2048 0.7387
ATOMIC_POSITIONS crystal
Nb 0.5000 0.5000 0.0000
Nb 0.2500 0.7500 0.5000
Hg 0.0000 0.0000 0.0000
Hg 0.7500 0.2500 0.5000
Li 0.6452 0.1250 0.2500
Li 0.1048 0.6250 0.2500
Li 0.3750 0.3548 0.7500
Li 0.8750 0.8952 0.7500
! - density (Mg/m³) = 6.92
! - E_form (eV per atom) = 0.555
! - magnetic moment (μB/f.u.) = 1.57

---

Q: magnetic moment of number 7 (Li2NbHg)?
A: 0.00 μB/f.u.

---

Q: magnetic moment of number 2 (NaLiTl2Hg)?
A: 0.00 μB/f.u.

---

Q: Which value of density does entry 3 give?
A: 5.79 Mg/m³

---

Q: Among the records above, which one has the highest density?
A: Li2NbHg2